DFT (GGA+U) results for a relaxed KFeS2F crystal.

```
data_KFeS2F
_space_group_name_H-M_alt 'P 1'
_space_group_IT_number 1
_cell_length_a 4.882
_cell_length_b 4.443
_cell_length_c 4.882
_cell_angle_alpha 90.00
_cell_angle_beta 90.00
_cell_angle_gamma 90.00
loop_
_space_group_symop_operation_xyz
'x,y,z'
loop_
_atom_site_label
_atom_site_fract_x
_atom_site_fract_y
_atom_site_fract_z
S1 0.500 0.000 0.000
S2 0.000 0.000 0.500
Fe1 0.500 0.500 0.500
K1 0.000 0.500 0.000
F1 0.000 0.000 0.000
```

Calculated values
Total DFT energy (no corrections): -3.297 eV/atom
Size of the total moment: 4.08 μB per formula unit